Entry 1:
VASP calculation (PBE) on a geometry-optimized Al2InCo structure.

Results
ρ ... 5.942 Mg/m³
Total magnetic moment ... 0.00 μB/atom
Formation energy from the elements ... 0.91 eV/f.u.
SG ... No. 216
Volume ... 15.91 Å³/atom
Fermi-level density of states ... 3.76 states/eV/f.u.

a = 4.4812 Å, b = 4.4812 Å, c = 4.4812 Å
α = 60.00°, β = 60.00°, γ = 60.00°
Sites, in units of the cell vectors:
Al 0.2500 0.2500 0.2500
Al 0.0000 0.0000 0.0000
In 0.7500 0.7500 0.7500
Co 0.5000 0.5000 0.5000


Entry 2:
VASP calculation (PBE) on a geometry-optimized AlIn2Co structure.

Results
ρ ... 6.995 Mg/m³
Total magnetic moment ... 0.07 μB/atom
Formation energy from the elements ... 0.00 eV/f.u.
SG ... No. 99
Volume ... 18.73 Å³/atom
Fermi-level density of states ... 2.67 states/eV/f.u.

a = 2.9825 Å, b = 2.9826 Å, c = 8.4209 Å
α = 90.00°, β = 90.00°, γ = 89.99°
Site moments in Bohr magnetons follow the coordinates.
Sites, in units of the cell vectors:
In 0.5000 0.5000 0.2761  0.00
In 0.0000 0.0000 0.9351  0.00
Co 0.5000 0.5000 0.7191  0.34
Al 0.0000 0.0000 0.5697  -0.01


Entry 3:
VASP calculation (PBE) on a geometry-optimized Al2InCo2 structure.

Results
ρ ... 6.738 Mg/m³
Total magnetic moment ... 0.00 μB/atom
Formation energy from the elements ... -1.16 eV/f.u.
SG ... No. 127
Volume ... 14.13 Å³/atom
Fermi-level density of states ... 2.07 states/eV/f.u.

a = 6.9865 Å, b = 6.9865 Å, c = 2.8944 Å
α = 90.00°, β = 90.00°, γ = 90.00°
Sites, in units of the cell vectors:
Al 0.6408 0.8592 0.5000
Al 0.3592 0.1408 0.5000
Al 0.8592 0.3592 0.5000
Al 0.1408 0.6408 0.5000
Co 0.1509 0.3491 0.0000
Co 0.3491 0.8491 0.0000
Co 0.8491 0.6509 0.0000
Co 0.6509 0.1509 0.0000
In 0.5000 0.5000 0.0000
In 0.0000 0.0000 0.0000


Entry 4:
VASP calculation (PBE) on a geometry-optimized AlIn2Co structure.

Results
ρ ... 7.173 Mg/m³
Total magnetic moment ... 0.21 μB/atom
Formation energy from the elements ... 1.37 eV/f.u.
SG ... No. 123
Volume ... 18.26 Å³/atom
Fermi-level density of states ... 2.57 states/eV/f.u.

a = 4.6548 Å, b = 4.6548 Å, c = 3.3713 Å
α = 90.00°, β = 90.00°, γ = 90.00°
Site moments in Bohr magnetons follow the coordinates.
Sites, in units of the cell vectors:
In 0.5000 0.5000 0.0000  -0.01
In 0.0000 0.0000 0.0000  -0.01
Al 0.5000 0.0000 0.5000  0.00
Co 0.0000 0.5000 0.5000  0.91


Entry 5:
VASP calculation (PBE) on a geometry-optimized AlIn2Co structure.

Results
ρ ... 7.325 Mg/m³
Total magnetic moment ... 0.00 μB/atom
Formation energy from the elements ... 0.97 eV/f.u.
SG ... No. 47
Volume ... 17.88 Å³/atom
Fermi-level density of states ... 1.90 states/eV/f.u.

a = 3.7904 Å, b = 3.3565 Å, c = 6.5499 Å
α = 59.15°, β = 90.00°, γ = 90.00°
Sites, in units of the cell vectors:
Al 0.5000 0.2500 0.2500
Co 0.5000 0.7500 0.7500
In 0.0000 0.0110 0.9897
In 0.0000 0.4890 0.5103


Entry 6:
VASP calculation (PBE) on a geometry-optimized Al2InCo structure.

Results
ρ ... 5.699 Mg/m³
Total magnetic moment ... 0.09 μB/atom
Formation energy from the elements ... 0.27 eV/f.u.
SG ... No. 10
Volume ... 16.59 Å³/atom
Fermi-level density of states ... 1.97 states/eV/f.u.

a = 4.1078 Å, b = 3.1801 Å, c = 5.4193 Å
α = 69.58°, β = 90.00°, γ = 90.00°
Site moments in Bohr magnetons follow the coordinates.
Sites, in units of the cell vectors:
Al 0.0000 0.1166 0.0341  -0.01
Al 0.0000 0.3834 0.4659  -0.01
Co 0.5000 0.2500 0.2500  0.42
In 0.5000 0.7500 0.7500  0.00


Entry 7:
VASP calculation (PBE) on a geometry-optimized AlIn2Co structure.

Results
ρ ... 4.920 Mg/m³
Total magnetic moment ... 0.00 μB/atom
Formation energy from the elements ... 0.18 eV/f.u.
SG ... No. 141
Volume ... 26.63 Å³/atom
Fermi-level density of states ... 0.00 states/eV/f.u.

a = 9.6517 Å, b = 9.6517 Å, c = 7.1977 Å
α = 47.90°, β = 47.90°, γ = 90.00°
Sites, in units of the cell vectors:
In 0.8748 0.1250 0.2500
In 0.3750 0.1252 0.7500
In 0.8752 0.6250 0.2500
In 0.8750 0.1248 0.7500
Co 0.0000 0.0000 0.0000
Co 0.7500 0.2500 0.5000
Al 0.5000 0.5000 0.0000
Al 0.2500 0.7500 0.5000


Entry 8:
VASP calculation (PBE) on a geometry-optimized AlIn2Co structure.

Results
ρ ... 7.000 Mg/m³
Total magnetic moment ... 0.00 μB/atom
Formation energy from the elements ... 0.41 eV/f.u.
SG ... No. 6
Volume ... 18.71 Å³/atom
Fermi-level density of states ... 3.19 states/eV/f.u.

a = 4.0176 Å, b = 3.7331 Å, c = 5.3413 Å
α = 69.13°, β = 90.00°, γ = 90.00°
Sites, in units of the cell vectors:
In 0.0000 0.9705 0.9299
In 0.5000 0.2817 0.3142
Al 0.0000 0.6887 0.4987
Co 0.5000 0.5592 0.7572


Entry 9:
VASP calculation (PBE) on a geometry-optimized AlInCo2 structure.

Results
ρ ... 7.609 Mg/m³
Total magnetic moment ... 0.53 μB/atom
Formation energy from the elements ... 0.78 eV/f.u.
SG ... No. 216
Volume ... 14.17 Å³/atom
Fermi-level density of states ... 5.97 states/eV/f.u.

a = 4.3114 Å, b = 4.3114 Å, c = 4.3114 Å
α = 60.00°, β = 60.00°, γ = 60.00°
Site moments in Bohr magnetons follow the coordinates.
Sites, in units of the cell vectors:
Co 0.2500 0.2500 0.2500  1.15
Co 0.0000 0.0000 0.0000  1.08
In 0.7500 0.7500 0.7500  -0.02
Al 0.5000 0.5000 0.5000  -0.01


Entry 10:
VASP calculation (PBE) on a geometry-optimized Al2InCo structure.

Results
ρ ... 5.916 Mg/m³
Total magnetic moment ... 0.04 μB/atom
Formation energy from the elements ... 0.15 eV/f.u.
SG ... No. 12
Volume ... 15.98 Å³/atom
Fermi-level density of states ... 2.52 states/eV/f.u.

a = 4.6879 Å, b = 4.6879 Å, c = 4.8228 Å
α = 78.23°, β = 78.23°, γ = 38.14°
Site moments in Bohr magnetons follow the coordinates.
Sites, in units of the cell vectors:
In 0.2500 0.2500 0.2500  0.00
Al 0.0224 0.0224 0.9580  0.00
Al 0.4776 0.4776 0.5420  0.00
Co 0.7500 0.7500 0.7500  0.20


Entry 11:
VASP calculation (PBE) on a geometry-optimized AlIn2Co structure.

Results
ρ ... 7.202 Mg/m³
Total magnetic moment ... 0.20 μB/atom
Formation energy from the elements ... 1.15 eV/f.u.
SG ... No. 65
Volume ... 18.19 Å³/atom
Fermi-level density of states ... 2.27 states/eV/f.u.

a = 4.8474 Å, b = 4.8474 Å, c = 3.2890 Å
α = 90.00°, β = 90.00°, γ = 109.71°
Site moments in Bohr magnetons follow the coordinates.
Sites, in units of the cell vectors:
In 0.5000 0.5000 0.0000  -0.01
In 0.0000 0.0000 0.0000  -0.01
Al 0.5000 0.0000 0.5000  0.00
Co 0.0000 0.5000 0.5000  0.85


Entry 12:
VASP calculation (PBE) on a geometry-optimized AlInCo2 structure.

Results
ρ ... 7.655 Mg/m³
Total magnetic moment ... 0.49 μB/atom
Formation energy from the elements ... -0.08 eV/f.u.
SG ... No. 8
Volume ... 14.08 Å³/atom
Fermi-level density of states ... 2.74 states/eV/f.u.

a = 4.9078 Å, b = 4.9078 Å, c = 4.3091 Å
α = 71.70°, β = 71.70°, γ = 35.08°
Site moments in Bohr magnetons follow the coordinates.
Sites, in units of the cell vectors:
Co 0.7340 0.7340 0.7293  1.08
Co 0.0097 0.0097 0.0320  1.03
In 0.4888 0.4888 0.5440  -0.03
Al 0.2675 0.2675 0.1946  -0.01


Entry 13:
VASP calculation (PBE) on a geometry-optimized AlInCo2 structure.

Results
ρ ... 7.368 Mg/m³
Total magnetic moment ... 0.61 μB/atom
Formation energy from the elements ... 0.25 eV/f.u.
SG ... No. 99
Volume ... 14.63 Å³/atom
Fermi-level density of states ... 5.01 states/eV/f.u.

a = 3.0820 Å, b = 3.0820 Å, c = 6.1607 Å
α = 90.00°, β = 90.00°, γ = 90.00°
Site moments in Bohr magnetons follow the coordinates.
Sites, in units of the cell vectors:
Co 0.0000 0.0000 0.9935  1.23
Co 0.5000 0.5000 0.2201  1.33
Al 0.5000 0.5000 0.8160  -0.02
In 0.0000 0.0000 0.4704  -0.02


Entry 14:
VASP calculation (PBE) on a geometry-optimized Al2InCo structure.

Results
ρ ... 5.748 Mg/m³
Total magnetic moment ... 0.09 μB/atom
Formation energy from the elements ... 0.80 eV/f.u.
SG ... No. 12
Volume ... 16.45 Å³/atom
Fermi-level density of states ... 2.65 states/eV/f.u.

a = 4.6791 Å, b = 5.4978 Å, c = 2.9844 Å
α = 73.19°, β = 92.39°, γ = 115.90°
Site moments in Bohr magnetons follow the coordinates.
Sites, in units of the cell vectors:
Al 0.5000 0.0000 0.5000  0.00
Al 0.0000 0.0000 0.0000  0.00
In 0.5000 0.5000 0.0000  -0.01
Co 0.0000 0.5000 0.5000  0.37